Model A:
## KFe2Tc (GGA-PBEsol)

Data for an optimized crystal structure of KFe2Tc.

a = 2.6462 Å, b = 5.8080 Å, c = 5.8080 Å
α = 55.21°, β = 76.83°, γ = 76.83°
Last column: nearest neighbours and their distance in Å.
Fractional coordinates of all 4 atoms:
1 Fe 0.2906 0.7094 0.7094  2 Tc 2.47, 2 Fe 2.65
2 Fe 0.7094 0.2906 0.2906  2 Tc 2.47, 2 Fe 2.65
3 K 0.5000 0.0000 0.0000  2 K 2.65
4 Tc 0.0000 0.5000 0.5000  4 Fe 2.47, 2 Tc 2.65

Calculated volume = 70.84 Å³/f.u.
Total moment = 6.44 Bohr magnetons per cell
Symmetry = No. 71

Model B:
## KFe2Tc (GGA-PBEsol)

Data for an optimized crystal structure of KFe2Tc.

a = 2.6346 Å, b = 2.6346 Å, c = 9.5784 Å
α = 90.00°, β = 90.00°, γ = 108.77°
Last column: nearest neighbours and their distance in Å.
Fractional coordinates of all 4 atoms:
1 Fe 0.0000 0.0000 0.2024  2 Tc 2.47, 4 Fe 2.63
2 Fe 0.0000 0.0000 0.7976  2 Tc 2.47, 4 Fe 2.63
3 K 0.5000 0.5000 0.5000  4 K 2.63
4 Tc 0.5000 0.5000 0.0000  4 Fe 2.47, 4 Tc 2.63

Calculated volume = 62.95 Å³/f.u.
Total moment = 4.56 Bohr magnetons per cell
Symmetry = No. 65

Which structure is the least stable? The one labeled model A.

Model A:
## KFe2Tc (GGA-PBEsol)

Data for an optimized crystal structure of KFe2Tc.

a = 2.7112 Å, b = 3.6072 Å, c = 7.4678 Å
α = 90.00°, β = 90.00°, γ = 90.00°
Last column: nearest neighbours and their distance in Å.
Fractional coordinates of all 4 atoms:
1 Fe 0.0000 0.0000 0.6500  1 Fe 2.24
2 Fe 0.0000 0.0000 0.3500  1 Fe 2.24
3 K 0.5000 0.5000 0.0000  2 K 2.71
4 Tc 0.5000 0.5000 0.5000  8 Fe 2.52, 2 Tc 2.71

Calculated volume = 73.03 Å³/f.u.
Total moment = 4.23 Bohr magnetons per cell
Symmetry = No. 47

Model B:
## KFe2Tc (GGA-PBEsol)

Data for an optimized crystal structure of KFe2Tc.

a = 4.3352 Å, b = 4.3352 Å, c = 4.3352 Å
α = 60.00°, β = 60.00°, γ = 60.00°
Last column: nearest neighbours and their distance in Å.
Fractional coordinates of all 4 atoms:
1 Fe 0.0000 0.0000 0.0000  4 Tc 2.65, 4 Fe 2.65
2 Fe 0.2500 0.2500 0.2500  4 Fe 2.65, 4 K 2.65
3 K 0.5000 0.5000 0.5000  4 Fe 2.65, 4 Tc 2.65
4 Tc 0.7500 0.7500 0.7500  4 K 2.65, 4 Fe 2.65

Calculated volume = 57.61 Å³/f.u.
Total moment = 3.62 Bohr magnetons per cell
Symmetry = No. 216

Which structure is the least stable? The one labeled model B.